Material: Cs2ZnW
Method: DFT, GGA-PBE
State: optimized geometry

```
data_Cs2ZnW
_chemical_formula_sum 'Cs8 Zn4 W4'
_cell_length_a 8.409
_cell_length_b 8.409
_cell_length_c 8.409
_cell_angle_alpha 90.00
_cell_angle_beta 90.00
_cell_angle_gamma 90.00
_symmetry_space_group_name_H-M 'F m -3 m'
_symmetry_Int_Tables_number 225
_symmetry_space_group_name_Hall '-F 4 2 3'
loop_
_atom_site_label
_atom_site_type_symbol
_atom_site_fract_x
_atom_site_fract_y
_atom_site_fract_z
Cs1 Cs 0.250 0.250 0.250
Zn1 Zn 0.000 0.000 0.000
W1 W 0.000 0.000 0.500
```

Output
Final energy in eV/atom: -2.297